## PrNbPt (PBE-GGA)

Data for a geometry-optimized PrNbPt structure.

Unit cell a=4.7439 b=4.7439 c=4.7439 alpha=60.00 beta=60.00 gamma=60.00
Positions (direct):
Nb: 0.2500 0.2500 0.2500
Pt: 0.0000 0.0000 0.0000
Pr: 0.7500 0.7500 0.7500

VASP energy: -20.779 eV per cell
formation energy: 0.1 eV per formula unit

***

## GdErNi (PBE-GGA)

Data for a geometry-optimized GdErNi structure.

Unit cell a=4.7364 b=4.7364 c=4.7364 alpha=60.00 beta=60.00 gamma=60.00
Positions (direct):
Er: 0.2500 0.2500 0.2500
Ni: 0.0000 0.0000 0.0000
Gd: 0.7500 0.7500 0.7500

VASP energy: -15.259 eV per cell
formation energy: -0.5 eV per formula unit

***

## LaPrFe2Si4 (PBE-GGA)

Data for a geometry-optimized LaPrFe2Si4 structure.

Unit cell a=4.0419 b=8.7689 c=8.7689 alpha=27.37 beta=90.00 gamma=90.00
Positions (direct):
Pr: 0.5000 0.1075 0.1075
Si: 0.0000 0.5384 0.5384
La: 0.0000 0.8923 0.8923
Si: 0.5000 0.4622 0.4622
Fe: 0.5000 0.7500 0.7500
Si: 0.0000 0.6898 0.6898
Si: 0.5000 0.3097 0.3097
Fe: 0.0000 0.2500 0.2500

VASP energy: -53.213 eV per cell

***

## DyTmSi2Pt (PBE-GGA)

Data for a geometry-optimized DyTmSi2Pt structure.

Unit cell a=5.5571 b=5.5571 c=10.0904 alpha=115.28 beta=115.28 gamma=45.24
Last column: magnetic moment on the atom in μB.
Positions (direct):
Tm: 0.0070 0.0070 0.3263  0.04
Pt: 0.2724 0.2724 0.6547  0.01
Si: 0.4821 0.4821 0.1139  0.00
Pt: 0.7276 0.7276 0.3453  0.01
Tm: 0.9930 0.9930 0.6737  0.04
Si: 0.5179 0.5179 0.8861  0.00
Dy: 0.1888 0.1888 0.1084  0.11
Dy: 0.8112 0.8112 0.8916  0.11
Si: 0.6387 0.6387 0.5573  0.00
Si: 0.3613 0.3613 0.4427  0.00

VASP energy: -62.367 eV per cell